! PBE-GGA NaZr, optimized geometry; values from VASP
! symmetry	P4_2/mnm (136)
! DOS at the Fermi energy	1.05	states/eV/atom
! volume	214.7	Å³/cell
! offset from the most stable computed form	1005	meV per atom
! magnetic moment	2.50	μB per cell
&SYSTEM
  ibrav = 0, nat = 8, ntyp = 2
/
ATOMIC_SPECIES
Zr 91.22 Zr.upf
Na 22.99 Na.upf
CELL_PARAMETERS angstrom
5.924 0.000 0.000
0.000 5.924 0.000
0.000 0.000 6.118
ATOMIC_POSITIONS angstrom
Zr 4.986 4.986 0.000
Zr 2.024 3.901 3.059
Zr 0.938 0.938 0.000
Zr 3.901 2.024 3.059
Na 0.974 0.974 3.059
Na 4.951 4.951 3.059
Na 1.988 3.936 0.000
Na 3.936 1.988 0.000